[1]
This record from Alexandria describes a relaxed structure of Th12Fe6Sb. The functional is PBE-GGA.

Calculated values
Uncorrected energy (eV/atom): -7.6787
Raw formation energy (meV/atom): -103

a b c (Å): 8.5861 8.5861 8.5861
angles (deg): 109.47 109.47 109.47
Positions (direct):
Th 0.3159 0.1376 0.8217
Th 0.3159 0.4942 0.1783
Th 0.6841 0.5058 0.8217
Th 0.6841 0.8624 0.1783
Th 0.1376 0.8217 0.3159
Th 0.4942 0.1783 0.3159
Th 0.5058 0.8217 0.6841
Th 0.8624 0.1783 0.6841
Th 0.8217 0.3159 0.1376
Th 0.1783 0.3159 0.4942
Th 0.8217 0.6841 0.5058
Th 0.1783 0.6841 0.8624
Fe 0.3621 0.5000 0.8621
Fe 0.6379 0.5000 0.1379
Fe 0.5000 0.8621 0.3621
Fe 0.5000 0.1379 0.6379
Fe 0.8621 0.3621 0.5000
Fe 0.1379 0.6379 0.5000
Sb 0.0000 0.0000 0.0000

***

[2]
This record from Alexandria describes a relaxed structure of ThFeSb. The functional is PBE-GGA.

Calculated values
Uncorrected energy (eV/atom): -6.6728
Raw formation energy (meV/atom): -5

a b c (Å): 6.4483 6.4483 11.8994
angles (deg): 90.00 90.00 120.00
Positions (direct):
Sb 0.5000 0.0000 0.6667
Sb 0.0000 0.0000 0.5000
Sb 0.0000 0.0000 0.8333
Sb 0.0000 0.0000 0.1667
Sb 0.5000 0.5000 0.0000
Sb 0.0000 0.5000 0.3333
Fe 0.3970 0.7941 0.1667
Fe 0.7941 0.3970 0.8333
Fe 0.6030 0.3970 0.5000
Fe 0.6030 0.2059 0.1667
Fe 0.3970 0.6030 0.5000
Fe 0.2059 0.6030 0.8333
Th 0.5000 0.5000 0.2745
Th 0.0000 0.5000 0.6078
Th 0.5000 0.5000 0.7255
Th 0.0000 0.5000 0.0589
Th 0.5000 0.0000 0.9411
Th 0.5000 0.0000 0.3922

***

Question: Number 1 is which compound?
Answer: Th12Fe6Sb

***

Question: Among the records above, which one has the highest raw formation energy?
Answer: ThFeSb

***

Question: Which formula does entry 1 have?
Answer: Th12Fe6Sb